[1]
# AlFe2Ag GGA-PBE optimized geometry
data_AlFe2Ag
_cell_length_a 2.7910
_cell_length_b 2.7910
_cell_length_c 25.2471
_cell_angle_alpha 90.00
_cell_angle_beta 90.00
_cell_angle_gamma 120.00
_symmetry_space_group_name_H-M 'R 3 m'
_symmetry_Int_Tables_number 160
_symmetry_space_group_name_Hall 'R 3 -2"'
loop_
_atom_site_label
_atom_site_fract_x
_atom_site_fract_y
_atom_site_fract_z
Al1 0.0000 0.0000 0.0000
Fe1 0.0000 0.0000 0.2555
Fe2 0.0000 0.0000 0.5178
Ag1 0.0000 0.0000 0.7596
# ΔH_f (0 K) = 142 meV per atom
# mass density = 7.2 Mg/m³
# uncorrected energy = -5.74 eV/atom

[2]
# AlFe2Ag GGA-PBE optimized geometry
data_AlFe2Ag
_cell_length_a 2.7089
_cell_length_b 4.2493
_cell_length_c 4.8554
_cell_angle_alpha 90.00
_cell_angle_beta 92.37
_cell_angle_gamma 90.00
_symmetry_space_group_name_H-M 'P 1 m 1'
_symmetry_Int_Tables_number 6
loop_
_symmetry_equiv_pos_as_xyz
'x,y,z'
'x,-y,z'
loop_
_atom_site_label
_atom_site_fract_x
_atom_site_fract_y
_atom_site_fract_z
Al1 0.0000 0.0000 0.0000
Fe1 0.4850 0.0000 0.4529
Fe2 0.5573 0.5000 0.1873
Ag1 0.0355 0.5000 0.6826
# ΔH_f (0 K) = 81 meV per atom
# mass density = 7.3 Mg/m³
# uncorrected energy = -5.80 eV/atom